Record 1
DFT (PBE) results for a geometry-optimized TbPrIn2 structure.

Structure (extended XYZ):
```
4
Lattice="3.838 0.000 0.000 0.000 3.838 0.000 0.000 0.000 7.676" Properties=species:S:1:pos:R:3 pbc="T T T"
Tb 0.000 0.000 0.000
Pr 0.000 0.000 3.838
In 1.919 1.919 1.816
In 1.919 1.919 5.861
```

Calculated values
The value obtained for the energy of formation from the pure elements is -0.490 eV/atom.



Record 2
DFT (PBE) results for a geometry-optimized Tb2Pr3In structure.

Structure (extended XYZ):
```
12
Lattice="8.832 0.000 0.000 0.000 3.761 0.000 -0.117 0.000 11.774" Properties=species:S:1:pos:R:3 pbc="T T T"
Tb 0.679 0.940 4.618
Tb 3.039 2.821 10.938
Tb 5.676 0.940 0.836
Tb 8.037 2.821 7.156
Pr 0.832 0.940 1.208
Pr 2.966 2.821 6.719
Pr 3.462 2.821 2.948
Pr 5.254 0.940 8.826
Pr 5.750 0.940 5.055
Pr 7.883 2.821 10.566
In 1.335 0.940 8.921
In 7.381 2.821 2.853
```

Calculated values
The value obtained for the energy of formation from the pure elements is -0.127 eV/atom. The calculation puts the excess energy over the best structure of this formula in the dataset at 26 meV per atom.



Record 3
DFT (PBE) results for a geometry-optimized TbPr5In4 structure.

Structure (extended XYZ):
```
10
Lattice="3.668 0.000 0.000 0.000 3.668 0.000 0.000 0.000 22.785" Properties=species:S:1:pos:R:3 pbc="T T T"
Tb 0.000 0.000 0.000
Pr 1.834 1.834 2.610
Pr 1.834 1.834 6.987
Pr 1.834 1.834 11.392
Pr 1.834 1.834 15.798
Pr 1.834 1.834 20.175
In 0.000 0.000 4.781
In 0.000 0.000 9.189
In 0.000 0.000 13.596
In 0.000 0.000 18.004
```

Calculated values
The value obtained for the energy of formation from the pure elements is -0.372 eV/atom. The calculation puts the excess energy over the best structure of this formula in the dataset at 0 meV per atom.



Record 4
DFT (PBE) results for a geometry-optimized TbPrIn6 structure.

Structure (extended XYZ):
```
8
Lattice="6.716 0.000 0.000 -3.358 5.816 0.000 0.000 0.000 5.300" Properties=species:S:1:pos:R:3 pbc="T T T"
Tb 0.000 0.000 0.000
Pr 0.000 3.877 2.650
In 1.733 1.000 2.650
In 3.358 0.110 0.000
In 1.774 2.853 0.000
In 4.983 1.000 2.650
In 3.358 3.815 2.650
In 4.942 2.853 0.000
```

Calculated values
The value obtained for the energy of formation from the pure elements is -0.393 eV/atom. The calculation puts the excess energy over the best structure of this formula in the dataset at 58 meV per atom.



Record 5
DFT (PBE) results for a geometry-optimized Tb4Pr7In structure.

Structure (extended XYZ):
```
12
Lattice="6.133 -3.027 0.000 6.133 3.027 0.000 -5.671 0.000 11.530" Properties=species:S:1:pos:R:3 pbc="T T T"
Tb 0.147 0.000 3.134
Tb -0.612 0.000 10.071
Tb 7.208 0.000 1.459
Tb 6.448 0.000 8.396
Pr -2.835 0.000 5.765
Pr -3.914 0.000 11.249
Pr 0.347 0.000 6.704
Pr 3.653 0.000 2.603
Pr 2.943 0.000 8.927
Pr 6.249 0.000 4.827
Pr 10.510 0.000 0.281
In 3.298 0.000 5.765
```

Calculated values
The value obtained for the energy of formation from the pure elements is 0.164 eV/atom.



Record 6
DFT (PBE) results for a geometry-optimized Tb4Pr3In structure.

Structure (extended XYZ):
```
16
Lattice="11.399 0.000 0.000 0.000 7.176 0.000 0.000 0.000 6.290" Properties=species:S:1:pos:R:3 pbc="T T T"
Tb 0.000 0.858 0.000
Tb 0.000 6.250 3.291
Tb 2.711 6.282 1.127
Tb 2.988 0.895 4.272
Tb 5.700 0.926 0.146
Tb 5.700 6.318 3.145
Tb 8.411 0.895 4.272
Tb 8.688 6.282 1.127
Pr 0.000 2.672 3.402
Pr 2.719 2.753 1.230
Pr 2.980 4.424 4.374
Pr 5.700 4.504 0.257
Pr 8.419 4.424 4.374
Pr 8.680 2.753 1.230
In 0.000 4.576 0.106
In 5.700 2.600 3.251
```

Calculated values
The value obtained for the energy of formation from the pure elements is -0.107 eV/atom. The calculation puts the excess energy over the best structure of this formula in the dataset at 0 meV per atom.



Record 7
DFT (PBE) results for a geometry-optimized Tb7Pr12In structure.

Structure (extended XYZ):
```
20
Lattice="-5.852 5.852 5.852 5.852 -5.852 5.852 5.852 5.852 -5.852" Properties=species:S:1:pos:R:3 pbc="T T T"
Tb 2.926 2.926 -2.926
Tb 2.926 -2.926 2.926
Tb 5.852 0.000 0.000
Tb -2.926 2.926 2.926
Tb 0.000 5.852 0.000
Tb 0.000 0.000 5.852
Tb 2.926 2.926 2.926
Pr 5.852 3.276 -3.276
Pr 5.852 -3.276 3.276
Pr 3.276 5.852 -3.276
Pr 2.576 2.576 0.000
Pr 2.576 0.000 2.576
Pr 3.276 -3.276 5.852
Pr 0.000 2.576 2.576
Pr 5.852 3.276 3.276
Pr -3.276 5.852 3.276
Pr -3.276 3.276 5.852
Pr 3.276 5.852 3.276
Pr 3.276 3.276 5.852
In 0.000 0.000 0.000
```

Calculated values
The value obtained for the energy of formation from the pure elements is 0.631 eV/atom. The calculation puts the excess energy over the best structure of this formula in the dataset at 492 meV per atom.



Record 8
DFT (PBE) results for a geometry-optimized Tb2Pr3In structure.

Structure (extended XYZ):
```
6
Lattice="2.516 -7.709 0.000 2.516 7.709 0.000 0.000 0.000 4.963" Properties=species:S:1:pos:R:3 pbc="T T T"
Tb 2.516 5.206 0.000
Tb 2.516 -5.206 0.000
Pr 0.000 0.000 2.481
Pr 2.516 2.592 2.481
Pr 2.516 -2.592 2.481
In 2.516 0.000 0.000
```

Calculated values
The value obtained for the energy of formation from the pure elements is -0.153 eV/atom. The calculation puts the excess energy over the best structure of this formula in the dataset at 0 meV per atom.



Record 9
DFT (PBE) results for a geometry-optimized Tb4Pr2In5 structure.

Structure (extended XYZ):
```
11
Lattice="0.000 5.323 10.345 3.216 0.000 10.345 3.216 5.323 0.000" Properties=species:S:1:pos:R:3 pbc="T T T"
Tb 3.216 1.795 7.709
Tb 3.216 1.795 12.981
Tb 3.216 8.852 7.709
Tb 3.216 8.852 12.981
Pr 3.216 5.323 8.076
Pr 3.216 5.323 12.614
In 0.000 0.000 0.000
In 1.608 2.662 0.000
In 1.608 2.662 5.173
In 1.608 2.662 10.345
In 4.823 7.985 15.518
```

Calculated values
The value obtained for the energy of formation from the pure elements is -0.154 eV/atom.



Record 10
DFT (PBE) results for a geometry-optimized Tb6PrIn6 structure.

Structure (extended XYZ):
```
13
Lattice="6.283 0.000 0.000 -3.141 5.441 0.000 0.000 0.000 10.846" Properties=species:S:1:pos:R:3 pbc="T T T"
Tb 0.000 0.000 1.750
Tb 0.000 0.000 9.096
Tb 0.000 3.627 0.000
Tb 0.000 3.627 5.423
Tb 3.141 1.814 0.000
Tb 3.141 1.814 5.423
Pr 0.000 0.000 5.423
In -1.571 2.721 2.760
In -1.571 2.721 8.086
In 3.141 0.000 2.760
In 3.141 0.000 8.086
In 1.571 2.721 2.760
In 1.571 2.721 8.086
```

Calculated values
The value obtained for the energy of formation from the pure elements is -0.345 eV/atom.



Record 11
DFT (PBE) results for a geometry-optimized Tb6Pr8In structure.

Structure (extended XYZ):
```
15
Lattice="9.395 0.000 0.000 -4.698 8.136 0.000 0.000 0.000 6.660" Properties=species:S:1:pos:R:3 pbc="T T T"
Tb -1.176 3.617 1.072
Tb -0.977 7.346 1.072
Tb 2.545 2.827 5.588
Tb 2.153 5.310 1.072
Tb 5.675 0.790 5.588
Tb 5.873 4.519 5.588
Pr -0.893 2.229 4.515
Pr -2.321 7.795 4.515
Pr 1.484 1.888 2.145
Pr 0.000 5.424 4.224
Pr 4.698 2.712 2.436
Pr 3.214 6.249 4.515
Pr 7.019 0.341 2.145
Pr 5.590 5.908 2.145
In 0.000 0.000 0.000
```

Calculated values
The value obtained for the energy of formation from the pure elements is 0.070 eV/atom.



Record 12
DFT (PBE) results for a geometry-optimized TbPr7In2 structure.

Structure (extended XYZ):
```
10
Lattice="4.712 -8.072 0.000 4.712 8.072 0.000 0.000 0.000 5.472" Properties=species:S:1:pos:R:3 pbc="T T T"
Tb 0.000 0.000 0.000
Pr 1.713 1.946 2.736
Pr 4.712 4.467 0.000
Pr 1.713 -1.946 2.736
Pr 4.712 0.000 2.736
Pr 7.711 1.946 2.736
Pr 4.712 -4.467 0.000
Pr 7.711 -1.946 2.736
In 4.712 3.152 2.736
In 4.712 -3.152 2.736
```

Calculated values
The value obtained for the energy of formation from the pure elements is 0.306 eV/atom.



Record 13
DFT (PBE) results for a geometry-optimized TbPr6In structure.

Structure (extended XYZ):
```
8
Lattice="5.073 0.000 0.000 0.000 5.073 0.000 0.000 0.000 10.413" Properties=species:S:1:pos:R:3 pbc="T T T"
Tb 0.000 0.000 0.000
Pr 0.000 2.537 2.676
Pr 0.000 2.537 7.737
Pr 2.537 0.000 2.676
Pr 2.537 0.000 7.737
Pr 2.537 2.537 0.000
Pr 2.537 2.537 5.206
In 0.000 0.000 5.206
```

Calculated values
The value obtained for the energy of formation from the pure elements is -0.121 eV/atom.



Record 14
DFT (PBE) results for a geometry-optimized TbPr2In2 structure.

Structure (extended XYZ):
```
10
Lattice="3.843 0.000 0.000 0.000 5.457 0.000 -1.929 0.000 14.340" Properties=species:S:1:pos:R:3 pbc="T T T"
Tb -0.005 1.364 4.230
Tb 1.919 4.093 10.110
Pr -0.001 4.093 1.337
Pr -0.002 4.093 6.780
Pr 1.916 1.364 7.560
Pr 1.916 1.364 13.003
In -0.004 1.364 10.247
In -0.007 4.093 12.819
In 1.921 1.364 1.521
In 1.918 4.093 4.093
```

Calculated values
The value obtained for the energy of formation from the pure elements is -0.374 eV/atom. The calculation puts the excess energy over the best structure of this formula in the dataset at 11 meV per atom.



Record 15
DFT (PBE) results for a geometry-optimized Tb3Pr3In structure.

Structure (extended XYZ):
```
14
Lattice="9.570 0.000 0.000 -4.785 8.288 0.000 0.000 0.000 5.677" Properties=species:S:1:pos:R:3 pbc="T T T"
Tb -3.361 6.813 1.419
Tb 0.566 1.970 1.419
Tb 1.989 0.495 4.258
Tb 2.796 7.792 1.419
Tb 4.219 6.317 4.258
Tb 8.146 1.475 4.258
Pr -2.005 5.227 4.258
Pr 1.261 3.938 4.258
Pr 4.040 0.877 1.419
Pr 0.744 7.410 4.258
Pr 3.524 4.350 1.419
Pr 6.790 3.061 1.419
In 0.000 5.525 1.419
In 4.785 2.763 4.258
```

Calculated values
The value obtained for the energy of formation from the pure elements is -0.111 eV/atom. The calculation puts the excess energy over the best structure of this formula in the dataset at 0 meV per atom.



Record 16
DFT (PBE) results for a geometry-optimized Tb3Pr2In7 structure.

Structure (extended XYZ):
```
12
Lattice="2.612 -12.853 0.000 2.612 12.853 0.000 0.000 0.000 5.385" Properties=species:S:1:pos:R:3 pbc="T T T"
Tb 0.000 0.000 0.000
Tb 2.612 9.011 0.000
Tb 2.612 -9.011 0.000
Pr 2.612 3.757 2.692
Pr 2.612 -3.757 2.692
In 2.612 11.055 2.692
In 2.612 7.128 2.692
In 2.612 1.908 0.000
In 2.612 0.000 2.692
In 2.612 -1.908 0.000
In 2.612 -7.128 2.692
In 2.612 -11.055 2.692
```

Calculated values
The value obtained for the energy of formation from the pure elements is -0.222 eV/atom.



Record 17
DFT (PBE) results for a geometry-optimized Tb5Pr4In structure.

Structure (extended XYZ):
```
10
Lattice="4.196 0.000 0.000 0.000 4.196 0.000 0.000 0.000 18.422" Properties=species:S:1:pos:R:3 pbc="T T T"
Tb 0.000 0.000 0.000
Tb 0.000 0.000 3.850
Tb 0.000 0.000 7.617
Tb 0.000 0.000 10.805
Tb 0.000 0.000 14.572
Pr 2.098 2.098 1.900
Pr 2.098 2.098 5.619
Pr 2.098 2.098 12.802
Pr 2.098 2.098 16.522
In 2.098 2.098 9.211
```

Calculated values
The value obtained for the energy of formation from the pure elements is 0.003 eV/atom. The calculation puts the excess energy over the best structure of this formula in the dataset at 0 meV per atom.



Record 18
DFT (PBE) results for a geometry-optimized TbPr6In4 structure.

Structure (extended XYZ):
```
11
Lattice="-3.993 3.993 6.084 3.993 -3.993 6.084 3.993 3.993 -6.084" Properties=species:S:1:pos:R:3 pbc="T T T"
Tb 0.000 0.000 0.000
Pr 3.993 0.000 0.000
Pr 2.475 2.475 -2.657
Pr 1.518 1.518 3.427
Pr 0.000 3.993 0.000
Pr 1.518 -1.518 8.741
Pr -1.518 1.518 8.741
In 1.270 -1.270 5.285
In 2.723 2.723 0.799
In -1.270 1.270 5.285
In 1.270 1.270 6.883
```

Calculated values
The value obtained for the energy of formation from the pure elements is -0.136 eV/atom.



Record 19
DFT (PBE) results for a geometry-optimized Tb4Pr5In2 structure.

Structure (extended XYZ):
```
11
Lattice="11.787 -1.788 0.000 11.787 1.788 0.000 -0.862 0.000 8.461" Properties=species:S:1:pos:R:3 pbc="T T T"
Tb 0.542 0.000 2.960
Tb 6.235 0.000 1.477
Tb 16.478 0.000 6.984
Tb 22.171 0.000 5.501
Pr 2.985 0.000 0.150
Pr 3.825 0.000 4.049
Pr 11.787 0.000 0.000
Pr 18.888 0.000 4.413
Pr 19.728 0.000 8.312
In 9.507 0.000 2.721
In 13.206 0.000 5.741
```

Calculated values
The value obtained for the energy of formation from the pure elements is -0.059 eV/atom.



Record 20
DFT (PBE) results for a geometry-optimized Tb2Pr7In2 structure.

Structure (extended XYZ):
```
11
Lattice="-1.865 8.935 5.699 1.865 -8.935 5.699 1.865 8.935 -5.699" Properties=species:S:1:pos:R:3 pbc="T T T"
Tb 0.000 4.018 0.000
Tb 0.000 13.853 0.000
Pr 1.865 -2.665 2.647
Pr 1.865 2.665 2.647
Pr 1.865 7.067 0.158
Pr 0.000 5.752 2.999
Pr 0.000 1.868 5.857
Pr 0.000 12.118 2.999
Pr 0.000 0.000 10.839
In 0.000 0.000 2.938
In 0.000 8.935 2.368
```

Calculated values
The value obtained for the energy of formation from the pure elements is -0.044 eV/atom.